Ba2CrIrO6 after structural relaxation, computed with GGA+U.

Unit cell a=5.804 b=5.804 c=10.186 alpha=73.45 beta=73.45 gamma=60.00
Each line ends with the local moment (μB).
Atoms (fractional coordinates):
Ba 0.874 0.874 0.379  0.00
Ba 0.126 0.126 0.621  0.00
Ba 0.713 0.713 0.861  -0.01
Ba 0.287 0.287 0.139  -0.01
Cr 0.591 0.591 0.227  2.82
Cr 0.409 0.409 0.773  2.82
Ir 0.000 0.000 0.000  -1.13
Ir 0.500 0.500 0.500  -0.85
O 0.850 0.393 0.365  -0.12
O 0.393 0.850 0.365  -0.12
O 0.393 0.393 0.365  -0.12
O 0.150 0.607 0.635  -0.12
O 0.607 0.150 0.635  -0.12
O 0.607 0.607 0.635  -0.12
O 0.715 0.201 0.882  -0.12
O 0.201 0.715 0.882  -0.12
O 0.201 0.201 0.882  -0.12
O 0.285 0.799 0.118  -0.12
O 0.799 0.285 0.118  -0.12
O 0.799 0.799 0.118  -0.12

Properties
DFT total energy: -0.5080 Ry per atom
space group: R-3m (166)
total moment: 0.99 μB per formula unit